1.
The following is a DFT calculation (GGA-PBE) of a relaxed CsSbPb2 crystal.

## Properties
total moment = 0.00 μB per formula unit
crystal system = tetragonal
calculated total energy = -3.13 eV/atom

Cell lengths 5.204, 5.204, 11.988 Å; angles 90.00, 90.00, 90.00 degrees
Atoms (fractional coordinates):
1 Pb 0.000 0.000 0.500
2 Pb 0.000 0.500 0.063
3 Pb 0.500 0.000 0.937
4 Pb 0.500 0.500 0.500
5 Cs 0.500 0.000 0.233
6 Cs 0.000 0.500 0.767
7 Sb 0.000 0.500 0.329
8 Sb 0.500 0.000 0.671

***

2.
The following is a DFT calculation (GGA-PBE) of a relaxed Cs3Sb2Pb crystal.

## Properties
total moment = 0.00 μB per formula unit
crystal system = orthorhombic
calculated total energy = -2.78 eV/atom

Cell lengths 9.266, 7.847, 10.460 Å; angles 112.03, 116.29, 90.00 degrees
Atoms (fractional coordinates):
1 Cs 0.500 0.750 0.000
2 Cs 0.980 0.177 0.354
3 Cs 0.500 0.250 0.000
4 Cs 0.625 0.323 0.646
5 Cs 0.020 0.823 0.646
6 Cs 0.375 0.677 0.354
7 Pb 0.000 0.250 0.000
8 Pb 0.000 0.750 0.000
9 Sb 0.091 0.400 0.801
10 Sb 0.909 0.600 0.199
11 Sb 0.709 0.900 0.801
12 Sb 0.291 0.100 0.199

***

The ΔE_f (raw) results, record by record, are as follows: -0.0358; -0.3563 eV per atom.